# Be2PCl

A relaxed structure of Be2PCl (PBE, Alexandria via LeMat-Bulk).

Summary:
Fermi-level density of states: 0.17 states/eV per atom
calculated total energy: -3.534 eV per atom

Unit cell a=6.3455 b=4.9367 c=2.9450 alpha=63.95 beta=102.67 gamma=135.08
Element x y z (fractional)
Be 0.0000 0.0000 0.0000
Be 0.5000 0.0000 0.5000
P 0.5000 0.5000 0.0000
Cl 0.0000 0.5000 0.5000

=====

# Ag2IrCl4

A relaxed structure of Ag2IrCl4 (PBE, Alexandria via LeMat-Bulk).

Summary:
Fermi-level density of states: 0.99 states/eV per atom
calculated total energy: -3.272 eV per atom

Unit cell a=6.8272 b=6.8272 c=5.9918 alpha=124.73 beta=124.73 gamma=90.00
Last column: magnetic moment on the atom in μB.
Element x y z (fractional)
Cl 0.7425 0.2661 0.0086  0.04
Cl 0.7339 0.7339 0.9914  0.04
Cl 0.2575 0.2575 0.9914  0.04
Cl 0.2661 0.7425 0.0086  0.04
Ag 0.7500 0.2500 0.5000  0.01
Ag 0.2500 0.7500 0.5000  0.01
Ir 0.5000 0.5000 0.0000  0.76

=====

# CoNiPd6

A relaxed structure of CoNiPd6 (PBE, Alexandria via LeMat-Bulk).

Summary:
Fermi-level density of states: 1.45 states/eV per atom
ΔH_f (0 K): 0.04 eV/atom

Unit cell a=3.8648 b=3.8648 c=7.7499 alpha=90.00 beta=90.00 gamma=90.00
Last column: magnetic moment on the atom in μB.
Element x y z (fractional)
Pd 0.0000 0.5000 0.7511  0.27
Pd 0.5000 0.0000 0.7511  0.27
Pd 0.0000 0.5000 0.2489  0.27
Pd 0.5000 0.0000 0.2489  0.27
Pd 0.5000 0.5000 0.0000  0.29
Pd 0.5000 0.5000 0.5000  0.27
Co 0.0000 0.0000 0.0000  2.06
Ni 0.0000 0.0000 0.5000  0.64

=====

# PmNd3Er4

A relaxed structure of PmNd3Er4 (PBE, Alexandria via LeMat-Bulk).

Summary:
Fermi-level density of states: 1.86 states/eV per atom
ΔH_f (0 K): 0.03 eV/atom

Unit cell a=6.2894 b=7.3105 c=11.5057 alpha=90.00 beta=90.00 gamma=90.00
Element x y z (fractional)
Er 0.6483 0.1208 0.0000
Er 0.4809 0.8796 0.7499
Er 0.1473 0.8799 0.0000
Er 0.6473 0.1201 0.5000
Er 0.9809 0.1204 0.2499
Er 0.1483 0.8792 0.5000
Er 0.4809 0.8796 0.2501
Er 0.9809 0.1204 0.7501
Nd 0.9828 0.6283 0.7506
Nd 0.4828 0.3717 0.7494
Nd 0.1454 0.3720 0.5000
Nd 0.9828 0.6283 0.2494
Nd 0.4828 0.3717 0.2506
Nd 0.6454 0.6280 0.0000
Pm 0.1468 0.3708 0.0000
Pm 0.6468 0.6292 0.5000

=====

# LaHoAs

A relaxed structure of LaHoAs (PBE, Alexandria via LeMat-Bulk).

Summary:
Fermi-level density of states: 1.12 states/eV per atom
ΔH_f (0 K): -0.55 eV/atom

Unit cell a=5.4614 b=3.8501 c=8.7459 alpha=77.28 beta=90.00 gamma=90.00
Last column: magnetic moment on the atom in μB.
Element x y z (fractional)
As 0.2500 0.1532 0.6937  0.00
As 0.7500 0.8468 0.3063  0.00
La 0.7500 0.6718 0.6564  0.01
La 0.2500 0.3282 0.3436  0.01
Ho 0.5000 0.0000 0.0000  0.15
Ho 0.0000 0.0000 0.0000  0.15

=====

# Tb4PPtS2

A relaxed structure of Tb4PPtS2 (PBE, Alexandria via LeMat-Bulk).

Summary:
Fermi-level density of states: 0.69 states/eV per atom
calculated total energy: -6.452 eV per atom

Unit cell a=3.9691 b=6.9958 c=6.9615 alpha=71.09 beta=90.00 gamma=90.00
Element x y z (fractional)
Tb 0.0000 0.7480 0.7486
Tb 0.5000 0.7468 0.2551
Tb 0.0000 0.2520 0.2514
Tb 0.5000 0.2532 0.7449
S 0.5000 0.0000 0.5000
S 0.0000 0.0000 0.0000
P 0.0000 0.5000 0.5000
Pt 0.5000 0.5000 0.0000

=====

# Tm2ScTe4

A relaxed structure of Tm2ScTe4 (PBE, Alexandria via LeMat-Bulk).

Summary:
Fermi-level density of states: 0.48 states/eV per atom
calculated total energy: -5.286 eV per atom

Unit cell a=4.2519 b=7.4581 c=8.1426 alpha=117.44 beta=105.13 gamma=90.00
Element x y z (fractional)
Tm 0.2560 0.2411 0.5119
Tm 0.7440 0.7589 0.4881
Sc 0.0000 0.0000 0.0000
Te 0.6246 0.2876 0.2492
Te 0.1153 0.7862 0.2306
Te 0.3754 0.7124 0.7508
Te 0.8847 0.2138 0.7694

=====

# K2LaInCl6

A relaxed structure of K2LaInCl6 (PBE, Alexandria via LeMat-Bulk).

Summary:
Fermi-level density of states: 0.00 states/eV per atom
calculated total energy: -4.014 eV per atom

Unit cell a=7.6435 b=8.1499 c=11.0714 alpha=90.00 beta=88.26 gamma=90.00
Element x y z (fractional)
K 0.9703 0.0749 0.7421
K 0.5297 0.5749 0.7579
K 0.4703 0.4251 0.2421
K 0.0297 0.9251 0.2579
Cl 0.7060 0.3205 0.9378
Cl 0.6399 0.0666 0.2684
Cl 0.1698 0.2178 0.0827
Cl 0.8601 0.5666 0.2316
Cl 0.3302 0.7178 0.4173
Cl 0.6698 0.2822 0.5827
Cl 0.8302 0.7822 0.9173
Cl 0.7940 0.8205 0.5622
Cl 0.3601 0.9334 0.7316
Cl 0.1399 0.4334 0.7684
Cl 0.2060 0.1795 0.4378
Cl 0.2940 0.6795 0.0622
In 0.0000 0.5000 0.5000
In 0.5000 0.0000 0.0000
La 0.5000 0.0000 0.5000
La 0.0000 0.5000 0.0000

=====

# Zn3PdPt

A relaxed structure of Zn3PdPt (PBE, Alexandria via LeMat-Bulk).

Summary:
Fermi-level density of states: 0.37 states/eV per atom
ΔH_f (0 K): 0.18 eV/atom

Unit cell a=4.7478 b=4.7478 c=4.7478 alpha=90.00 beta=90.00 gamma=90.00
Element x y z (fractional)
Pd 0.5000 0.5000 0.5000
Pt 0.0000 0.0000 0.0000
Zn 0.0000 0.0000 0.5000
Zn 0.0000 0.5000 0.0000
Zn 0.5000 0.0000 0.0000

=====

# NdZr2V

A relaxed structure of NdZr2V (PBE, Alexandria via LeMat-Bulk).

Summary:
Fermi-level density of states: 1.42 states/eV per atom
ΔH_f (0 K): 0.41 eV/atom

Unit cell a=3.2014 b=3.2014 c=10.9023 alpha=81.56 beta=81.56 gamma=60.00
Last column: magnetic moment on the atom in μB.
Element x y z (fractional)
V 0.5000 0.5000 0.5000  1.05
Zr 0.8997 0.8997 0.3010  -0.01
Zr 0.1003 0.1003 0.6990  -0.01
Nd 0.0000 0.0000 0.0000  -0.04

=====

# Pd3WAu

A relaxed structure of Pd3WAu (PBE, Alexandria via LeMat-Bulk).

Summary:
Fermi-level density of states: 0.71 states/eV per atom
ΔH_f (0 K): 1.20 eV/atom

Unit cell a=4.7981 b=4.7981 c=4.7981 alpha=90.00 beta=90.00 gamma=90.00
Element x y z (fractional)
Pd 0.0000 0.0000 0.5000
Pd 0.5000 0.0000 0.0000
Pd 0.0000 0.5000 0.0000
Au 0.5000 0.5000 0.5000
W 0.0000 0.0000 0.0000

=====

# ZrH2Se

A relaxed structure of ZrH2Se (PBE, Alexandria via LeMat-Bulk).

Summary:
Fermi-level density of states: 0.43 states/eV per atom
calculated total energy: -4.611 eV per atom

Unit cell a=4.0470 b=4.0470 c=4.0470 alpha=60.00 beta=60.00 gamma=60.00
Element x y z (fractional)
H 0.2500 0.2500 0.2500
H 0.7500 0.7500 0.7500
Se 0.0000 0.0000 0.0000
Zr 0.5000 0.5000 0.5000

=====

# NdNpGa

A relaxed structure of NdNpGa (PBE, Alexandria via LeMat-Bulk).

Summary:
Fermi-level density of states: 1.51 states/eV per atom
ΔH_f (0 K): -0.06 eV/atom

Unit cell a=3.5924 b=5.1967 c=7.8059 alpha=96.88 beta=90.00 gamma=90.00
Last column: magnetic moment on the atom in μB.
Element x y z (fractional)
Ga 0.7500 0.9705 0.8584  -0.01
Ga 0.2500 0.0295 0.1416  -0.01
Nd 0.2500 0.4590 0.8148  -0.01
Nd 0.7500 0.5410 0.1852  -0.01
Np 0.2500 0.8477 0.5146  1.82
Np 0.7500 0.1523 0.4854  1.82

=====

# PmDyPa2N4

A relaxed structure of PmDyPa2N4 (PBE, Alexandria via LeMat-Bulk).

Summary:
Fermi-level density of states: 0.50 states/eV per atom
calculated total energy: -9.329 eV per atom

Unit cell a=3.5212 b=6.1155 c=6.0925 alpha=109.56 beta=90.00 gamma=90.00
Element x y z (fractional)
Pm 0.5000 0.5000 0.0000
N 0.5000 0.7506 0.7310
N 0.5000 0.2494 0.2690
N 0.0000 0.2340 0.7253
N 0.0000 0.7660 0.2747
Dy 0.0000 0.0000 0.0000
Pa 0.0000 0.5000 0.5000
Pa 0.5000 0.0000 0.5000

=====

# Pt2CI

A relaxed structure of Pt2CI (PBE, Alexandria via LeMat-Bulk).

Summary:
Fermi-level density of states: 0.59 states/eV per atom
calculated total energy: -4.042 eV per atom

Unit cell a=4.5333 b=4.5333 c=4.5333 alpha=60.00 beta=60.00 gamma=60.00
Element x y z (fractional)
Pt 0.7500 0.7500 0.7500
Pt 0.2500 0.2500 0.2500
I 0.5000 0.5000 0.5000
C 0.0000 0.0000 0.0000

=====

# Na2CaAsH

A relaxed structure of Na2CaAsH (PBE, Alexandria via LeMat-Bulk).

Summary:
calculated total energy: -3.092 eV per atom

Unit cell a=4.4345 b=4.4345 c=4.9442 alpha=90.00 beta=90.00 gamma=90.00
Element x y z (fractional)
Ca 0.0000 0.0000 0.5000
Na 0.0000 0.5000 0.0000
Na 0.5000 0.0000 0.0000
H 0.0000 0.0000 0.0000
As 0.5000 0.5000 0.5000

=====

# CaCe2HoS4

A relaxed structure of CaCe2HoS4 (PBE, Alexandria via LeMat-Bulk).

Summary:
Fermi-level density of states: 1.43 states/eV per atom
calculated total energy: -6.386 eV per atom

Unit cell a=3.9648 b=6.9883 c=6.8877 alpha=70.95 beta=90.00 gamma=90.00
Last column: magnetic moment on the atom in μB.
Element x y z (fractional)
Ca 0.5000 0.5000 0.0000  0.01
S 0.0000 0.2603 0.2500  -0.01
S 0.5000 0.7373 0.2570  -0.01
S 0.5000 0.2627 0.7430  -0.01
S 0.0000 0.7397 0.7500  -0.01
Ce 0.5000 0.0000 0.5000  0.87
Ce 0.0000 0.0000 0.0000  0.86
Ho 0.0000 0.5000 0.5000  0.01

=====

# IrPbS2Cl

A relaxed structure of IrPbS2Cl (PBE, Alexandria via LeMat-Bulk).

Summary:
Fermi-level density of states: 1.31 states/eV per atom
calculated total energy: -4.510 eV per atom

Unit cell a=4.7342 b=4.7342 c=5.2256 alpha=90.00 beta=90.00 gamma=90.00
Last column: magnetic moment on the atom in μB.
Element x y z (fractional)
Cl 0.0000 0.0000 0.5000  0.00
S 0.5000 0.0000 0.0000  0.04
S 0.0000 0.5000 0.0000  0.04
Pb 0.5000 0.5000 0.5000  0.01
Ir 0.0000 0.0000 0.0000  0.14